(1)
## Er12MgNi6 (PBE)

Data for a relaxed Er12MgNi6 crystal.

```
Er12MgNi6
1.0
8.307 -0.817 -0.978
-2.066 8.087 -0.978
-2.066 -2.408 7.782
Er Mg Ni
12 1 6
Direct
0.851 0.334 0.035 Er
0.153 0.393 0.450 Er
0.149 0.666 0.965 Er
0.847 0.607 0.550 Er
0.965 0.149 0.666 Er
0.550 0.847 0.607 Er
0.334 0.035 0.851 Er
0.607 0.550 0.847 Er
0.393 0.450 0.153 Er
0.666 0.965 0.149 Er
0.450 0.153 0.393 Er
0.035 0.851 0.334 Er
0.000 0.000 0.000 Mg
0.363 0.715 0.786 Ni
0.715 0.786 0.363 Ni
0.285 0.214 0.637 Ni
0.214 0.637 0.285 Ni
0.786 0.363 0.715 Ni
0.637 0.285 0.214 Ni
```

## Properties
Magnetization, Bohr magnetons per cell: 0.0
Crystal system: trigonal
ΔH_f (0 K), eV/atom: -0.20
Raw total energy, eV per cell: -94.8
Offset from the most stable computed form, eV per atom: 0.117



(2)
## Fe2CuCl (PBE)

Data for a relaxed Fe2CuCl crystal.

```
Fe2CuCl
1.0
6.110 0.014 0.003
4.119 4.513 -0.003
-4.807 -2.960 2.339
Cl Fe Cu
1 2 1
Direct
0.556 0.556 0.000 Cl
0.740 0.240 0.500 Fe
0.915 0.915 0.000 Fe
0.289 0.789 0.500 Cu
```

## Properties
Magnetization, Bohr magnetons per cell: 5.9
Formation energy without anion corrections, eV/atom: 0.362
Crystal system: orthorhombic
Raw total energy, eV per cell: -21.4
Offset from the most stable computed form, eV per atom: 0.189



(3)
## Ce2Mg2Ge4Pd (PBE)

Data for a relaxed Ce2Mg2Ge4Pd crystal.

```
Ce2Mg2Ge4Pd
1.0
-2.822 3.899 -4.155
-3.737 -3.382 3.876
3.312 2.641 4.741
Pd Ge Mg Ce
1 4 2 2
Direct
0.000 0.000 0.000 Pd
0.000 0.270 0.730 Ge
0.460 0.730 0.730 Ge
0.000 0.730 0.270 Ge
0.540 0.270 0.270 Ge
0.000 0.295 0.295 Mg
0.000 0.705 0.705 Mg
0.500 0.250 0.750 Ce
0.500 0.750 0.250 Ce
```

## Properties
Magnetization, Bohr magnetons per cell: 1.5
Crystal system: tetragonal
ΔH_f (0 K), eV/atom: -0.53
Raw total energy, eV per cell: -43.5



(4)
## Mg3Sc4Pt (PBE)

Data for a relaxed Mg3Sc4Pt crystal.

```
Mg3Sc4Pt
1.0
-0.667 2.737 2.024
-3.027 -1.421 0.924
6.461 -6.587 11.036
Mg Sc Pt
3 4 1
Direct
0.500 0.500 0.500 Mg
0.500 0.500 0.238 Mg
0.500 0.500 0.762 Mg
0.000 0.000 0.367 Sc
0.000 0.000 0.895 Sc
0.000 0.000 0.105 Sc
0.000 0.000 0.633 Sc
0.500 0.500 0.000 Pt
```

## Properties
Magnetization, Bohr magnetons per cell: 0.2
Crystal system: tetragonal
ΔH_f (0 K), eV/atom: -0.35
Raw total energy, eV per cell: -39.0



(5)
## ZrTa2Cd (PBE)

Data for a relaxed ZrTa2Cd crystal.

```
ZrTa2Cd
1.0
-2.763 1.858 -0.888
-1.561 -0.920 2.931
2.646 5.423 3.112
Ta Zr Cd
2 1 1
Direct
0.000 0.000 0.025 Ta
0.500 0.500 0.231 Ta
0.000 0.000 0.482 Zr
0.500 0.500 0.762 Cd
```

## Properties
Magnetization, Bohr magnetons per cell: 0.0
Crystal system: tetragonal
ΔH_f (0 K), eV/atom: 0.08
Raw total energy, eV per cell: -32.8



(6)
## Li6SmCd12 (PBE)

Data for a relaxed Li6SmCd12 crystal.

```
Li6SmCd12
1.0
-5.975 -0.145 -4.965
-2.162 -4.391 6.034
0.330 7.279 2.696
Sm Cd Li
1 12 6
Direct
0.000 0.000 0.000 Sm
0.597 0.597 0.846 Cd
0.846 0.597 0.597 Cd
0.597 0.846 0.597 Cd
0.500 0.882 0.118 Cd
0.882 0.118 0.500 Cd
0.154 0.403 0.403 Cd
0.882 0.500 0.118 Cd
0.403 0.154 0.403 Cd
0.403 0.403 0.154 Cd
0.500 0.118 0.882 Cd
0.118 0.500 0.882 Cd
0.118 0.882 0.500 Cd
0.729 0.729 0.290 Li
0.290 0.729 0.729 Li
0.729 0.290 0.729 Li
0.710 0.271 0.271 Li
0.271 0.710 0.271 Li
0.271 0.271 0.710 Li
```

## Properties
Magnetization, Bohr magnetons per cell: 0.0
Crystal system: trigonal
ΔH_f (0 K), eV/atom: -0.10
Raw total energy, eV per cell: -29.1



(7)
## Ce6FeHPb2 (PBE)

Data for a relaxed Ce6FeHPb2 crystal.

```
Ce6FeHPb2
1.0
-1.679 -6.687 -1.672
2.071 -2.130 6.444
-4.401 -3.686 4.104
H Pb Ce Fe
1 2 6 1
Direct
0.500 0.500 0.000 H
0.250 0.750 0.500 Pb
0.750 0.250 0.500 Pb
0.736 0.263 0.000 Ce
0.263 0.263 0.000 Ce
0.755 0.755 0.489 Ce
0.264 0.737 0.000 Ce
0.245 0.245 0.511 Ce
0.737 0.737 0.000 Ce
0.000 0.000 0.000 Fe
```

## Properties
Magnetization, Bohr magnetons per cell: 4.0
Crystal system: tetragonal
Raw total energy, eV per cell: -57.8



(8)
## Na2Si2S5 (PBE)

Data for a relaxed Na2Si2S5 crystal.

```
Na2Si2S5
1.0
4.788 0.000 0.000
-2.394 6.215 -0.041
0.000 -0.993 6.872
S Si Na
5 2 2
Direct
0.684 0.368 0.948 S
0.000 0.000 0.000 S
0.316 0.632 0.052 S
0.861 0.721 0.421 S
0.139 0.279 0.579 S
0.845 0.689 0.122 Si
0.155 0.311 0.878 Si
0.626 0.252 0.359 Na
0.374 0.748 0.641 Na
```

## Properties
Magnetization, Bohr magnetons per cell: 0.0
Formation energy without anion corrections, eV/atom: -0.623
Crystal system: monoclinic
Raw total energy, eV per cell: -39.7
Offset from the most stable computed form, eV per atom: 0.297



(9)
## MgCoCuIr (PBE)

Data for a relaxed MgCoCuIr crystal.

```
MgCoCuIr
1.0
-0.575 -4.056 -1.130
-0.749 -2.947 2.969
-3.852 -1.768 0.315
Co Mg Cu Ir
1 1 1 1
Direct
0.750 0.750 0.750 Co
0.000 0.000 0.000 Mg
0.250 0.250 0.250 Cu
0.500 0.500 0.500 Ir
```

## Properties
Magnetization, Bohr magnetons per cell: 2.2
Crystal system: cubic
ΔH_f (0 K), eV/atom: -0.01
Raw total energy, eV per cell: -21.7



(10)
## HfZrSc2O (PBE)

Data for a relaxed HfZrSc2O crystal.

```
HfZrSc2O
1.0
-1.968 2.796 2.808
-2.270 -3.365 1.759
3.463 -0.702 3.127
O Sc Zr Hf
1 2 1 1
Direct
0.000 0.000 0.000 O
0.000 0.500 0.000 Sc
0.500 0.000 0.000 Sc
0.000 0.000 0.500 Zr
0.500 0.500 0.500 Hf
```

## Properties
Magnetization, Bohr magnetons per cell: 0.0
Formation energy without anion corrections, eV/atom: -1.117
Crystal system: tetragonal
Raw total energy, eV per cell: -41.7
Offset from the most stable computed form, eV per atom: 0.000



(11)
## BeCNF2 (PBE)

Data for a relaxed BeCNF2 crystal.

```
BeCNF2
1.0
-0.132 1.864 -2.392
-2.917 0.579 0.612
1.739 4.858 3.690
C F Be N
1 2 1 1
Direct
0.500 0.500 0.500 C
0.000 0.500 0.000 F
0.500 0.000 0.000 F
0.000 0.000 0.000 Be
0.000 0.000 0.500 N
```

## Properties
Magnetization, Bohr magnetons per cell: 0.5
Formation energy without anion corrections, eV/atom: 0.253
Crystal system: tetragonal
Raw total energy, eV per cell: -23.8
Offset from the most stable computed form, eV per atom: 0.227



(12)
## ScTaSe4 (PBE)

Data for a relaxed ScTaSe4 crystal.

```
ScTaSe4
1.0
-4.546 -3.147 0.695
-4.333 1.966 2.900
-4.735 1.327 -2.621
Se Ta Sc
4 1 1
Direct
0.376 0.873 0.376 Se
0.376 0.376 0.873 Se
0.873 0.376 0.376 Se
0.376 0.376 0.376 Se
0.750 0.750 0.750 Ta
0.000 0.000 0.000 Sc
```

## Properties
Magnetization, Bohr magnetons per cell: 0.0
Formation energy without anion corrections, eV/atom: 0.674
Crystal system: cubic
Raw total energy, eV per cell: -28.1